[1]
The following is a DFT calculation (PBE) of an optimized crystal structure of RbNa2PuI6.

Lattice parameters (Å, degrees): 8.2416 8.2416 22.9893 90.00 90.00 120.00
Space group R3 (No. 146, hexagonal axes)
One atom of each set of equivalent atoms:
Rb: 0.0000 0.0000 0.0000 (multiplicity 3)
Na: 0.0000 0.0000 0.2921 (multiplicity 3)
Na: 0.0000 0.0000 0.8074 (multiplicity 3)
Pu: 0.0000 0.0000 0.4804 (multiplicity 3)
I: 0.0040 0.3228 0.5536 (multiplicity 9)
I: 0.0171 0.6055 0.0600 (multiplicity 9)

Properties
Raw formation energy ... -28.01 kcal/mol of atoms
Total magnetic moment ... 0.5000 μB per atom
Mass density ... 4.19 Mg/m³
Crystal system ... trigonal

[2]
The following is a DFT calculation (PBE) of an optimized crystal structure of Rb3Na3PuI8.

Lattice parameters (Å, degrees): 16.669 9.615 10.124 90.00 123.30 90.00
Space group C2/m (No. 12)
One atom of each set of equivalent atoms:
Rb: 0.000 0.000 0.000 (multiplicity 2)
Rb: 0.250 0.250 0.000 (multiplicity 4)
Na: 0.000 0.500 0.500 (multiplicity 2)
Na: 0.250 0.250 0.500 (multiplicity 4)
Pu: 0.000 0.000 0.500 (multiplicity 2)
I: 0.011 0.245 0.290 (multiplicity 8)
I: 0.234 0.000 0.710 (multiplicity 4)
I: 0.238 0.500 0.713 (multiplicity 4)

Properties
Raw formation energy ... -29.67 kcal/mol of atoms
Total magnetic moment ... 0.3997 μB per atom
Mass density ... 3.88 Mg/m³
Crystal system ... monoclinic